Record 1
A plane-wave DFT calculation with PBE-GGA was carried out for an optimized crystal structure of Ho2TlCuNi.

Results
**Total energy**: -4.57 eV per atom

Lattice parameters (Å, degrees): 3.6557 7.4177 7.4177 31.26 90.00 90.00
Fractional positions:
1 Ho 0.0000 0.0000 0.0000
2 Ho 0.0000 0.2753 0.2753
3 Tl 0.5000 0.6402 0.6402
4 Cu 0.5000 0.4371 0.4371
5 Ni 0.5000 0.8393 0.8393



Record 2
A plane-wave DFT calculation with PBE-GGA was carried out for an optimized crystal structure of CsDyOs.

Results
**Total energy**: -4.49 eV per atom

Lattice parameters (Å, degrees): 4.9830 4.9830 4.9830 60.00 60.00 60.00
Fractional positions:
1 Cs 0.0000 0.0000 0.0000
2 Dy 0.5000 0.5000 0.5000
3 Os 0.2500 0.2500 0.2500



> Which value of total energy does entry 1 give?

-4.57 eV per atom



> The highest total energy belongs to which entry?

CsDyOs



> Which formula does entry 1 have?

Ho2TlCuNi



Repeat the second record exactly.
A plane-wave DFT calculation with PBE-GGA was carried out for an optimized crystal structure of CsDyOs.

Results
**Total energy**: -4.49 eV per atom

Lattice parameters (Å, degrees): 4.9830 4.9830 4.9830 60.00 60.00 60.00
Fractional positions:
1 Cs 0.0000 0.0000 0.0000
2 Dy 0.5000 0.5000 0.5000
3 Os 0.2500 0.2500 0.2500